[1]
ZnHgSO PBE optimized geometry; energy above the lowest structure with this stoichiometry = 75 meV per atom; uncorrected energy = -3.23 eV/atom
1.0
6.5362 0.0000 0.0000
0.0000 7.3671 0.0000
0.0000 0.0000 6.2348
Zn Hg S O
4 4 4 4
Cartesian
0.4351 1.0604 0.0000
2.8330 1.0604 3.1174
3.7032 6.3067 0.0000
6.1010 6.3067 3.1174
0.6583 4.6239 5.8870
2.6098 4.6239 2.7696
3.9264 2.7432 5.8870
5.8778 2.7432 2.7696
0.6301 0.8830 3.9067
2.6380 0.8830 0.7893
3.8982 6.4840 3.9067
5.9061 6.4840 0.7893
0.4535 4.6365 3.6038
2.8146 4.6365 0.4865
3.7215 2.7306 3.6038
6.0827 2.7306 0.4865

---

[2]
ZnHgSO PBE optimized geometry; energy above the lowest structure with this stoichiometry = 176 meV per atom; uncorrected energy = -3.13 eV/atom
1.0
5.9763 0.0000 0.0000
0.0000 3.4592 0.0000
0.0000 0.0000 13.6800
Zn Hg S O
4 4 4 4
Cartesian
0.8934 0.8648 1.2793
2.0948 2.5944 8.1193
3.8815 0.8648 5.5607
5.0829 2.5944 12.4007
0.7907 2.5944 4.4034
2.1974 0.8648 11.2434
3.7788 2.5944 2.4366
5.1856 0.8648 9.2766
1.3892 2.5944 12.9671
1.5989 0.8648 6.1271
4.3774 2.5944 7.5528
4.5871 0.8648 0.7128
1.3706 2.5944 2.2589
1.6176 0.8648 9.0989
4.3587 2.5944 4.5811
4.6057 0.8648 11.4211

---

[3]
ZnHgSO PBE optimized geometry; energy above the lowest structure with this stoichiometry = 209 meV per atom; uncorrected energy = -3.09 eV/atom
1.0
3.5124 0.0000 0.0000
-1.7562 3.0418 0.0000
0.0000 0.0000 12.4640
Zn Hg S O
2 2 2 2
Cartesian
0.0000 2.0279 0.0000
1.7562 1.0139 6.2320
0.0000 0.0000 2.8982
0.0000 0.0000 9.1302
0.0000 2.0279 4.5705
1.7562 1.0139 10.8025
0.0000 0.0000 0.7313
0.0000 0.0000 6.9633

---

[4]
ZnHgSO PBE optimized geometry; energy above the lowest structure with this stoichiometry = 93 meV per atom; uncorrected energy = -3.21 eV/atom
1.0
3.8485 0.0000 0.0000
0.0000 3.8485 0.0000
0.0000 0.0000 9.2515
Zn Hg S O
2 2 2 2
Cartesian
0.9621 0.9621 0.6211
2.8864 2.8864 8.6303
0.9621 0.9621 6.0745
2.8864 2.8864 3.1769
0.9621 0.9621 3.0591
2.8864 2.8864 6.1923
0.9621 2.8864 0.0000
2.8864 0.9621 0.0000

---

[5]
ZnHgSO PBE optimized geometry; energy above the lowest structure with this stoichiometry = 345 meV per atom; uncorrected energy = -2.96 eV/atom
1.0
1.4725 -7.5246 0.0000
1.4725 7.5246 0.0000
0.0000 0.0000 5.5634
Zn Hg S O
2 2 2 2
Cartesian
1.4725 6.9604 4.1726
1.4725 -6.9604 1.3909
1.4725 2.3579 4.1726
1.4725 -2.3579 1.3909
1.4725 2.7240 1.3909
1.4725 -2.7240 4.1726
1.4725 0.0000 0.0000
1.4725 0.0000 2.7817

---

[6]
ZnHgSO PBE optimized geometry; energy above the lowest structure with this stoichiometry = 0 meV per atom; uncorrected energy = -3.30 eV/atom
1.0
6.1865 0.0000 0.0000
0.0000 8.0612 0.0000
0.0000 0.0000 5.6994
Zn Hg S O
4 4 4 4
Cartesian
0.6923 0.6310 0.0000
2.4009 0.6310 2.8497
3.7855 7.4302 0.0000
5.4942 7.4302 2.8497
0.2996 5.3000 0.4386
2.7937 5.3000 3.2883
3.3928 2.7613 0.4386
5.8869 2.7613 3.2883
0.1874 5.3069 3.4999
2.9058 5.3069 0.6502
3.2807 2.7543 3.4999
5.9991 2.7543 0.6502
0.6008 0.6257 3.6975
2.4925 0.6257 0.8478
3.6940 7.4355 3.6975
5.5857 7.4355 0.8478

---

[7]
ZnHgSO PBE optimized geometry; energy above the lowest structure with this stoichiometry = 604 meV per atom; uncorrected energy = -2.70 eV/atom
1.0
3.8161 0.0000 0.0000
0.0000 3.8161 0.0000
0.0000 0.0000 10.1140
Zn Hg S O
2 2 2 2
Cartesian
0.9540 0.9540 1.1420
2.8621 2.8621 8.9720
0.9540 0.9540 6.2521
2.8621 2.8621 3.8619
0.9540 0.9540 8.7811
2.8621 2.8621 1.3329
0.9540 2.8621 5.0570
2.8621 0.9540 5.0570

---

[8]
TmHg2SbO6 PBE optimized geometry; total moment = 0.01 Bohr magnetons per cell; uncorrected energy = -5.42 eV/atom
1.0
5.6380 0.0000 0.0000
0.0000 5.8199 0.0000
-5.6143 0.0000 8.0366
Tm Hg Sb O
2 4 2 12
Cartesian
0.0000 0.0000 0.0000
-2.8072 2.9100 4.0183
-2.8905 0.0125 5.9982
-0.0833 2.8974 1.9799
0.1071 2.9225 6.0566
2.9142 5.8074 2.0383
0.0119 0.0000 4.0183
2.8190 2.9100 0.0000
-1.3170 1.3850 3.4717
-4.1242 1.5250 7.4900
-4.1024 4.3178 7.4985
-1.2952 4.4121 3.4802
0.7275 0.0029 2.1223
-2.0797 2.9070 6.1406
2.1034 2.9129 1.8960
-0.7038 5.8170 5.9143
1.3189 1.4079 4.5563
4.1261 1.5021 0.5380
4.1479 4.2949 0.5466
1.3407 4.4350 4.5649

---

[9]
TmHg2SbO6 PBE optimized geometry; total moment = 0.00 Bohr magnetons per cell; uncorrected energy = -5.42 eV/atom
1.0
4.9022 -2.9125 0.0000
4.9022 2.9125 0.0000
-3.3467 0.0000 9.2498
Tm Hg Sb O
2 4 2 12
Cartesian
2.3921 1.4682 6.9373
4.0655 -1.4682 2.3124
2.3903 1.4214 3.3804
5.7407 1.4214 1.2445
0.7170 -1.4214 8.0053
4.0673 -1.4214 5.8694
2.4511 1.4563 0.0000
0.7777 -1.4563 4.6249
-1.2067 0.0866 7.8345
0.4666 -0.0866 3.2096
1.0694 1.4548 8.7497
3.7149 1.4548 5.1250
2.7634 0.0350 1.3667
1.0901 -0.0350 5.9916
5.3676 0.0350 3.2582
3.6942 -0.0350 7.8831
2.7428 -1.4548 4.1248
5.3883 -1.4548 0.5001
5.9910 0.0866 6.0402
7.6644 -0.0866 1.4153

---

[10]
Sc2Hg2O5 PBE optimized geometry; total moment = 0.09 Bohr magnetons per cell; energy above the lowest structure with this stoichiometry = 827 meV per atom; uncorrected energy = -5.17 eV/atom
1.0
3.8349 0.0000 0.0000
0.0000 3.8349 0.0000
0.0000 0.0000 8.7116
Sc Hg O
2 2 5
Cartesian
0.0000 0.0000 0.0000
0.0000 0.0000 4.3558
1.9175 1.9175 2.1732
1.9175 1.9175 6.5383
0.0000 1.9175 3.2279
0.0000 1.9175 5.4837
1.9175 0.0000 3.2279
1.9175 0.0000 5.4837
1.9175 1.9175 0.0000

---

[11]
Sc2Hg2O5 PBE optimized geometry; total moment = 0.61 Bohr magnetons per cell; energy above the lowest structure with this stoichiometry = 0 meV per atom; uncorrected energy = -5.99 eV/atom
1.0
3.9369 0.0000 0.0000
0.0000 3.9369 0.0000
0.0000 0.0000 8.1413
Sc Hg O
2 2 5
Cartesian
0.0000 0.0000 2.0182
0.0000 0.0000 6.1231
1.9685 1.9685 0.0000
1.9685 1.9685 4.0707
0.0000 0.0000 0.0000
0.0000 1.9685 2.5643
0.0000 1.9685 5.5770
1.9685 0.0000 2.5643
1.9685 0.0000 5.5770

---

[12]
ScHgSeO PBE optimized geometry; total moment = 0.00 Bohr magnetons per cell; energy above the lowest structure with this stoichiometry = 144 meV per atom; uncorrected energy = -5.41 eV/atom
1.0
7.0715 0.0000 0.0000
0.0000 6.9875 0.0000
-0.3404 0.0000 6.4432
Sc Hg Se O
4 4 4 4
Cartesian
0.0878 0.8341 1.3173
-0.0824 2.6596 4.5389
6.8134 4.3278 1.9043
6.6432 6.1534 5.1259
3.2095 4.8328 3.1838
3.0393 5.6484 6.4054
3.6917 1.3391 0.0378
3.5215 2.1546 3.2594
1.6522 0.0851 3.5041
1.8224 3.4087 0.2825
4.9087 3.5788 6.1607
5.0789 6.9024 2.9391
-0.0579 4.5882 3.8968
0.1123 5.8930 0.6752
6.6188 1.0945 5.7680
6.7890 2.3993 2.5464